1.
Computed, not measured: a relaxed structure of CdPdSeO at the PBE level of DFT.

Cell: 4.0430 4.0430 8.4220 Å, 90.00 90.00 90.00°
Last column: nearest neighbours and their distance in Å.
Positions (direct):
Cd1 0.2500 0.7500 0.0000  4 Pd 2.85, 4 Cd 2.86
Cd2 0.7500 0.2500 0.0000  4 Pd 2.85, 4 Cd 2.86
Pd1 0.2500 0.2500 0.2383  1 O 2.14
Pd2 0.7500 0.7500 0.7617  1 O 2.14
Se1 0.2500 0.2500 0.6935  1 O 1.70
Se2 0.7500 0.7500 0.3065  1 O 1.70
O1 0.2500 0.2500 0.4919  1 Se 1.70
O2 0.7500 0.7500 0.5081  1 Se 1.70

Summary:
Relative energy among the computed polymorphs (meV per atom): 377

---

2.
Computed, not measured: a relaxed structure of Pm2CdO4 at the PBE level of DFT.

Cell: 6.9301 6.9301 6.9301 Å, 60.00 60.00 60.00°
Last column: nearest neighbours and their distance in Å.
Positions (direct):
Pm1 0.0000 0.0000 0.0000  6 O 2.35
Pm2 0.0000 0.0000 0.5000  6 O 2.35
Pm3 0.0000 0.5000 0.0000  6 O 2.35
Pm4 0.5000 0.0000 0.0000  6 O 2.35
Cd1 0.3750 0.3750 0.3750  4 O 2.30
Cd2 0.6250 0.6250 0.6250  4 O 2.30
O1 0.2192 0.7603 0.7603  1 Cd 2.30, 3 Pm 2.35
O2 0.2397 0.2397 0.2397  1 Cd 2.30, 3 Pm 2.35
O3 0.2397 0.2397 0.7808  1 Cd 2.30, 3 Pm 2.35
O4 0.2397 0.7808 0.2397  1 Cd 2.30, 3 Pm 2.35
O5 0.7603 0.2192 0.7603  1 Cd 2.30, 3 Pm 2.35
O6 0.7603 0.7603 0.2192  1 Cd 2.30, 3 Pm 2.35
O7 0.7603 0.7603 0.7603  1 Cd 2.30, 3 Pm 2.35
O8 0.7808 0.2397 0.2397  1 Cd 2.30, 3 Pm 2.35

---

3.
Computed, not measured: a relaxed structure of PrCd6O8 at the PBE level of DFT.

Cell: 6.7056 6.7056 6.7056 Å, 60.00 60.00 60.00°
Last column: nearest neighbours and their distance in Å.
Positions (direct):
Pr1 0.0000 0.0000 0.0000  6 O 2.34
Cd1 0.0000 0.0000 0.5000  6 O 2.37
Cd2 0.0000 0.5000 0.0000  6 O 2.37
Cd3 0.0000 0.5000 0.5000  6 O 2.37
Cd4 0.5000 0.0000 0.0000  6 O 2.37
Cd5 0.5000 0.0000 0.5000  6 O 2.37
Cd6 0.5000 0.5000 0.0000  6 O 2.37
O1 0.2472 0.2472 0.7528  1 Pr 2.34, 4 Cd 2.37
O2 0.2472 0.7528 0.2472  1 Pr 2.34, 4 Cd 2.37
O3 0.2472 0.7528 0.7528  1 Pr 2.34, 4 Cd 2.37
O4 0.2500 0.2500 0.2500  6 Cd 2.37
O5 0.7500 0.7500 0.7500  6 Cd 2.37
O6 0.7528 0.2472 0.2472  1 Pr 2.34, 4 Cd 2.37
O7 0.7528 0.2472 0.7528  1 Pr 2.34, 4 Cd 2.37
O8 0.7528 0.7528 0.2472  1 Pr 2.34, 4 Cd 2.37

---

Calculated final energy, -3.77, -6.94, -4.50 eV/atom (same order as the records).
Calculated volume, 138, 235, 213 Å³/cell (same order as the records).